[1]
{"formula": "HoHfIr", "functional": "PBE", "state": "optimized geometry", "m_tot_mub_per_cell": 0.000, "final_energy_ev_per_atom": -8.535, "volume_a3_per_cell": 393, "sg": "Amm2 (38)", "lattice": [[2.226, 5.601, 3.627], [5.732, -1.680, 5.899], [7.728, 2.622, -1.969]], "species": ["Ir", "Ir", "Ir", "Ir", "Ir", "Ir", "Hf", "Hf", "Hf", "Hf", "Hf", "Hf", "Ho", "Ho", "Ho", "Ho", "Ho", "Ho"], "frac_coords": [[0.752, 0.750, 0.250], [0.420, 0.834, 0.834], [0.087, 0.166, 0.166], [0.420, 0.334, 0.334], [0.752, 0.250, 0.750], [0.087, 0.666, 0.666], [0.499, 0.627, 0.627], [0.754, 0.373, 0.373], [0.499, 0.127, 0.127], [0.007, 0.000, 0.000], [0.754, 0.873, 0.873], [0.007, 0.500, 0.500], [0.169, 0.042, 0.542], [0.753, 0.958, 0.458], [0.338, 0.750, 0.250], [0.338, 0.250, 0.750], [0.169, 0.542, 0.042], [0.753, 0.458, 0.958]]}

***

[2]
{"formula": "PrPbIO2", "functional": "PBE", "state": "optimized geometry", "m_tot_mub_per_cell": 0.000, "final_energy_ev_per_atom": -6.049, "volume_a3_per_cell": 260, "sg": "P2_1/m (11)", "lattice": [[4.219, 0.000, 0.000], [0.000, 7.616, -0.339], [0.000, -2.058, 8.197]], "species": ["Pb", "Pb", "O", "O", "O", "O", "Pr", "Pr", "I", "I"], "frac_coords": [[0.250, 0.655, 0.416], [0.750, 0.345, 0.584], [0.250, 0.486, 0.115], [0.250, 0.513, 0.632], [0.750, 0.487, 0.368], [0.750, 0.514, 0.885], [0.750, 0.347, 0.084], [0.250, 0.653, 0.916], [0.250, 0.047, 0.800], [0.750, 0.953, 0.200]]}

***

[3]
{"formula": "Mg6FeB", "functional": "PBE", "state": "optimized geometry", "m_tot_mub_per_cell": 0.002, "final_energy_ev_per_atom": -2.982, "volume_a3_per_cell": 152, "sg": "Amm2 (38)", "lattice": [[4.701, -5.054, 0.000], [4.701, 5.054, 0.000], [0.000, 0.000, 3.198]], "species": ["Mg", "Mg", "Mg", "Mg", "Mg", "Mg", "Fe", "B"], "frac_coords": [[0.657, 0.343, 0.000], [0.918, 0.082, 0.500], [0.547, 0.791, 0.000], [0.209, 0.453, 0.000], [0.353, 0.102, 0.500], [0.898, 0.647, 0.500], [0.160, 0.840, 0.000], [0.257, 0.743, 0.500]]}

***

[4]
{"formula": "Th2ZnTe", "functional": "PBE", "state": "optimized geometry", "m_tot_mub_per_cell": 0.000, "final_energy_ev_per_atom": -5.348, "volume_a3_per_cell": 108, "sg": "P4/mmm (123)", "lattice": [[3.675, 0.000, 0.000], [0.000, 3.675, 0.000], [0.000, 0.000, 7.986]], "species": ["Te", "Th", "Th", "Zn"], "frac_coords": [[0.500, 0.500, 0.500], [0.000, 0.000, 0.240], [0.000, 0.000, 0.760], [0.500, 0.500, 0.000]]}

***

[5]
{"formula": "TiGa2Cu2", "functional": "PBE", "state": "optimized geometry", "m_tot_mub_per_cell": 0.000, "final_energy_ev_per_atom": -4.532, "volume_a3_per_cell": 145, "sg": "P4/mbm (127)", "lattice": [[7.289, 0.000, 0.000], [0.000, 7.289, 0.000], [0.000, 0.000, 2.723]], "species": ["Ga", "Ga", "Ga", "Ga", "Ti", "Ti", "Cu", "Cu", "Cu", "Cu"], "frac_coords": [[0.142, 0.358, 0.000], [0.642, 0.142, 0.000], [0.858, 0.642, 0.000], [0.358, 0.858, 0.000], [0.000, 0.000, 0.000], [0.500, 0.500, 0.000], [0.157, 0.657, 0.500], [0.657, 0.843, 0.500], [0.343, 0.157, 0.500], [0.843, 0.343, 0.500]]}